# Th2Al4Zn3Cd GGA-PBE relaxed
data_Th2Al4Zn3Cd
_chemical_formula_sum 'Th2 Al4 Zn3 Cd1'
_symmetry_space_group_name_H-M 'P -4 m 2'
_symmetry_Int_Tables_number 115
_symmetry_space_group_name_Hall 'P -4 -2'
_cell_length_a 4.2892
_cell_length_b 4.2892
_cell_length_c 10.9423
_cell_angle_alpha 90.00
_cell_angle_beta 90.00
_cell_angle_gamma 90.00
loop_
_atom_site_label
_atom_site_type_symbol
_atom_site_fract_x
_atom_site_fract_y
_atom_site_fract_z
Th1 Th 0.0000 0.5000 0.2442
Al1 Al 0.0000 0.0000 0.0000
Al2 Al 0.0000 0.5000 0.6440
Al3 Al 0.5000 0.5000 0.0000
Zn1 Zn 0.0000 0.5000 0.8679
Zn2 Zn 0.5000 0.5000 0.5000
Cd1 Cd 0.0000 0.0000 0.5000
# DFT formation energy: -30.5 kJ/mol of atoms
# Electronic total energy: -3.77 eV/atom